Entry 1:
DFT (PBE) results for crystalline CeScGaHg at its relaxed geometry.

Magnetic moment ... 0.47 μB per cell
D(E_F) ... 5.90 states/eV/f.u.
Formation energy from the elements ... -0.4610 eV/atom
Total energy ... -4.36 eV/atom

Cell: 3.328 3.328 8.096 Å, 90.00 90.00 90.00°
Sites, in units of the cell vectors:
Ce 0.000 0.000 0.000
Sc 0.000 0.000 0.469
Ga 0.500 0.500 0.254
Hg 0.500 0.500 0.707

---

Entry 2:
DFT (PBE) results for crystalline CeScGaHg at its relaxed geometry.

Magnetic moment ... 4.18 μB per cell
D(E_F) ... 8.98 states/eV/f.u.
Formation energy from the elements ... -0.4045 eV/atom
Total energy ... -4.30 eV/atom

Cell: 7.232 7.232 7.232 Å, 90.00 90.00 90.00°
Sites, in units of the cell vectors:
Ce 0.000 0.000 0.000
Ce 0.000 0.500 0.500
Ce 0.500 0.000 0.500
Ce 0.500 0.500 0.000
Sc 0.000 0.000 0.500
Sc 0.000 0.500 0.000
Sc 0.500 0.000 0.000
Sc 0.500 0.500 0.500
Ga 0.250 0.250 0.250
Ga 0.250 0.750 0.750
Ga 0.750 0.250 0.750
Ga 0.750 0.750 0.250
Hg 0.250 0.250 0.750
Hg 0.250 0.750 0.250
Hg 0.750 0.250 0.250
Hg 0.750 0.750 0.750

---

Entry 3:
DFT (PBE) results for crystalline SrCeGaHg at its relaxed geometry.

Magnetic moment ... 4.40 μB per cell
D(E_F) ... 9.17 states/eV/f.u.
Formation energy from the elements ... -0.3603 eV/atom
Total energy ... -3.10 eV/atom

Cell: 7.702 7.702 7.702 Å, 90.00 90.00 90.00°
Sites, in units of the cell vectors:
Sr 0.000 0.000 0.000
Sr 0.000 0.500 0.500
Sr 0.500 0.000 0.500
Sr 0.500 0.500 0.000
Ce 0.000 0.000 0.500
Ce 0.000 0.500 0.000
Ce 0.500 0.000 0.000
Ce 0.500 0.500 0.500
Ga 0.250 0.250 0.750
Ga 0.250 0.750 0.250
Ga 0.750 0.250 0.250
Ga 0.750 0.750 0.750
Hg 0.250 0.250 0.250
Hg 0.250 0.750 0.750
Hg 0.750 0.250 0.750
Hg 0.750 0.750 0.250

---

Entry 4:
DFT (PBE) results for crystalline TbCeGaHg at its relaxed geometry.

Magnetic moment ... 0.67 μB per cell
D(E_F) ... 6.72 states/eV/f.u.
Formation energy from the elements ... -0.4615 eV/atom
Total energy ... -3.93 eV/atom

Cell: 3.458 3.458 8.287 Å, 90.00 90.00 90.00°
Sites, in units of the cell vectors:
Tb 0.000 0.000 0.000
Ce 0.000 0.000 0.530
Ga 0.500 0.500 0.770
Hg 0.500 0.500 0.253

---

Entry 5:
DFT (PBE) results for crystalline TbCeGaHg at its relaxed geometry.

Magnetic moment ... 5.11 μB per cell
D(E_F) ... 9.89 states/eV/f.u.
Formation energy from the elements ... -0.4234 eV/atom
Total energy ... -3.90 eV/atom

Cell: 7.433 7.433 7.433 Å, 90.00 90.00 90.00°
Sites, in units of the cell vectors:
Tb 0.000 0.000 0.000
Tb 0.000 0.500 0.500
Tb 0.500 0.000 0.500
Tb 0.500 0.500 0.000
Ce 0.000 0.000 0.500
Ce 0.000 0.500 0.000
Ce 0.500 0.000 0.000
Ce 0.500 0.500 0.500
Ga 0.250 0.250 0.750
Ga 0.250 0.750 0.250
Ga 0.750 0.250 0.250
Ga 0.750 0.750 0.750
Hg 0.250 0.250 0.250
Hg 0.250 0.750 0.750
Hg 0.750 0.250 0.750
Hg 0.750 0.750 0.250

---

Entry 6:
DFT (PBE) results for crystalline CeThGaHg at its relaxed geometry.

Magnetic moment ... 3.41 μB per cell
D(E_F) ... 8.99 states/eV/f.u.
Formation energy from the elements ... -0.2994 eV/atom
Total energy ... -4.47 eV/atom

Cell: 7.514 7.514 7.514 Å, 90.00 90.00 90.00°
Sites, in units of the cell vectors:
Ce 0.000 0.000 0.000
Ce 0.000 0.500 0.500
Ce 0.500 0.000 0.500
Ce 0.500 0.500 0.000
Th 0.000 0.000 0.500
Th 0.000 0.500 0.000
Th 0.500 0.000 0.000
Th 0.500 0.500 0.500
Ga 0.250 0.250 0.750
Ga 0.250 0.750 0.250
Ga 0.750 0.250 0.250
Ga 0.750 0.750 0.750
Hg 0.250 0.250 0.250
Hg 0.250 0.750 0.750
Hg 0.750 0.250 0.750
Hg 0.750 0.750 0.250

---

Entry 7:
DFT (PBE) results for crystalline CeTmGaHg at its relaxed geometry.

Magnetic moment ... 3.96 μB per cell
D(E_F) ... 9.28 states/eV/f.u.
Formation energy from the elements ... -0.4232 eV/atom
Total energy ... -3.86 eV/atom

Cell: 7.373 7.373 7.373 Å, 90.00 90.00 90.00°
Sites, in units of the cell vectors:
Ce 0.000 0.000 0.000
Ce 0.000 0.500 0.500
Ce 0.500 0.000 0.500
Ce 0.500 0.500 0.000
Tm 0.000 0.000 0.500
Tm 0.000 0.500 0.000
Tm 0.500 0.000 0.000
Tm 0.500 0.500 0.500
Ga 0.250 0.250 0.250
Ga 0.250 0.750 0.750
Ga 0.750 0.250 0.750
Ga 0.750 0.750 0.250
Hg 0.250 0.250 0.750
Hg 0.250 0.750 0.250
Hg 0.750 0.250 0.250
Hg 0.750 0.750 0.750

---

Entry 8:
DFT (PBE) results for crystalline CeYGaHg at its relaxed geometry.

Magnetic moment ... 4.69 μB per cell
D(E_F) ... 9.87 states/eV/f.u.
Formation energy from the elements ... -0.4379 eV/atom
Total energy ... -4.37 eV/atom

Cell: 7.427 7.427 7.427 Å, 90.00 90.00 90.00°
Sites, in units of the cell vectors:
Ce 0.000 0.000 0.000
Ce 0.000 0.500 0.500
Ce 0.500 0.000 0.500
Ce 0.500 0.500 0.000
Y 0.000 0.000 0.500
Y 0.000 0.500 0.000
Y 0.500 0.000 0.000
Y 0.500 0.500 0.500
Ga 0.250 0.250 0.750
Ga 0.250 0.750 0.250
Ga 0.750 0.250 0.250
Ga 0.750 0.750 0.750
Hg 0.250 0.250 0.250
Hg 0.250 0.750 0.750
Hg 0.750 0.250 0.750
Hg 0.750 0.750 0.250

---

Copy entry 2 word for word.
DFT (PBE) results for crystalline CeScGaHg at its relaxed geometry.

Magnetic moment ... 4.18 μB per cell
D(E_F) ... 8.98 states/eV/f.u.
Formation energy from the elements ... -0.4045 eV/atom
Total energy ... -4.30 eV/atom

Cell: 7.232 7.232 7.232 Å, 90.00 90.00 90.00°
Sites, in units of the cell vectors:
Ce 0.000 0.000 0.000
Ce 0.000 0.500 0.500
Ce 0.500 0.000 0.500
Ce 0.500 0.500 0.000
Sc 0.000 0.000 0.500
Sc 0.000 0.500 0.000
Sc 0.500 0.000 0.000
Sc 0.500 0.500 0.500
Ga 0.250 0.250 0.250
Ga 0.250 0.750 0.750
Ga 0.750 0.250 0.750
Ga 0.750 0.750 0.250
Hg 0.250 0.250 0.750
Hg 0.250 0.750 0.250
Hg 0.750 0.250 0.250
Hg 0.750 0.750 0.750

---

Copy entry 7 word for word.
DFT (PBE) results for crystalline CeTmGaHg at its relaxed geometry.

Magnetic moment ... 3.96 μB per cell
D(E_F) ... 9.28 states/eV/f.u.
Formation energy from the elements ... -0.4232 eV/atom
Total energy ... -3.86 eV/atom

Cell: 7.373 7.373 7.373 Å, 90.00 90.00 90.00°
Sites, in units of the cell vectors:
Ce 0.000 0.000 0.000
Ce 0.000 0.500 0.500
Ce 0.500 0.000 0.500
Ce 0.500 0.500 0.000
Tm 0.000 0.000 0.500
Tm 0.000 0.500 0.000
Tm 0.500 0.000 0.000
Tm 0.500 0.500 0.500
Ga 0.250 0.250 0.250
Ga 0.250 0.750 0.750
Ga 0.750 0.250 0.750
Ga 0.750 0.750 0.250
Hg 0.250 0.250 0.750
Hg 0.250 0.750 0.250
Hg 0.750 0.250 0.250
Hg 0.750 0.750 0.750

---

> Which formula does entry 3 have?

SrCeGaHg